# 1
AlFe2H2 | PBE | optimized geometry

The calculation puts the total energy at -5.585 eV per atom. The value obtained for the density of states at the Fermi level is 0.258 states/eV/atom. As for the volume: 41.0 Å³ per cell.

Unit cell a=2.9389 b=2.9389 c=5.1807 alpha=73.52 beta=73.52 gamma=90.00
Atoms (fractional coordinates):
H1 0.7500 0.2500 0.5000
H2 0.2500 0.7500 0.5000
Fe1 0.3426 0.3426 0.3148
Fe2 0.6574 0.6574 0.6852
Al1 0.0000 0.0000 0.0000


# 2
CaTc5 | PBE | optimized geometry

Its formation energy from the elements is 0.419 eV/atom. The calculation puts the total energy at -8.553 eV per atom. The value obtained for the density of states at the Fermi level is 1.141 states/eV/atom. As for the volume: 96.4 Å³ per cell.

Unit cell a=5.4570 b=5.4570 c=4.4386 alpha=90.00 beta=90.00 gamma=133.17
Atoms (fractional coordinates):
Tc1 0.8134 0.1866 0.0000
Tc2 0.3292 0.6708 0.5000
Tc3 0.1866 0.8134 0.0000
Tc4 0.6708 0.3292 0.5000
Tc5 0.0000 0.0000 0.5000
Ca1 0.5000 0.5000 0.0000


# 3
La3HfAu | PBE | optimized geometry

Its formation energy from the elements is 0.405 eV/atom. The calculation puts the total energy at -5.198 eV per atom. The value obtained for the density of states at the Fermi level is 2.150 states/eV/atom. As for the volume: 188.5 Å³ per cell.

Unit cell a=5.7340 b=5.7340 c=5.7340 alpha=90.00 beta=90.00 gamma=90.00
Atoms (fractional coordinates):
La1 0.0000 0.0000 0.5000
La2 0.5000 0.0000 0.0000
La3 0.0000 0.5000 0.0000
Hf1 0.5000 0.5000 0.5000
Au1 0.0000 0.0000 0.0000


# 4
SrReTcAs2 | PBE | optimized geometry

Its formation energy from the elements is 1.080 eV/atom. The calculation puts the total energy at -5.679 eV per atom. The value obtained for the density of states at the Fermi level is 0.839 states/eV/atom. As for the volume: 136.0 Å³ per cell.

Unit cell a=4.7682 b=5.9805 c=4.7682 alpha=90.00 beta=90.00 gamma=90.00
Atoms (fractional coordinates):
Re1 0.0000 0.0000 0.0000
As1 0.0000 0.0000 0.5000
As2 0.5000 0.0000 0.0000
Sr1 0.0000 0.5000 0.0000
Tc1 0.5000 0.5000 0.5000


# 5
K2LiSc | PBE | optimized geometry

Its formation energy from the elements is 0.503 eV/atom. The calculation puts the total energy at -2.107 eV per atom. The value obtained for the density of states at the Fermi level is 1.216 states/eV/atom. As for the volume: 158.4 Å³ per cell.

Unit cell a=3.5236 b=3.5236 c=12.7601 alpha=90.00 beta=90.00 gamma=90.00
Atoms (fractional coordinates):
Li1 0.5000 0.5000 0.2500
K1 0.0000 0.0000 0.4963
K2 0.0000 0.0000 0.0037
Sc1 0.5000 0.5000 0.7500


# 6
Zr6CdBi | PBE | optimized geometry

Its formation energy from the elements is -0.088 eV/atom. The calculation puts the total energy at -7.098 eV per atom. The value obtained for the density of states at the Fermi level is 1.048 states/eV/atom. As for the volume: 185.3 Å³ per cell.

Unit cell a=5.2609 b=6.3321 c=6.3321 alpha=118.52 beta=90.00 gamma=90.00
Atoms (fractional coordinates):
Zr1 0.0000 0.8346 0.6439
Zr2 0.0000 0.8438 0.1562
Zr3 0.5000 0.6457 0.8413
Zr4 0.5000 0.1587 0.3543
Zr5 0.0000 0.3561 0.1654
Zr6 0.0000 0.3474 0.6526
Cd1 0.5000 0.6618 0.3382
Bi1 0.5000 0.1518 0.8482